Compound: Sr4SbTeO
Source: Alexandria via LeMat-Bulk
Functional: GGA-PBE
Structure: optimized geometry

The formation energy from raw total energies comes out at -1.57 eV/atom. The total magnetization is 0.0 Bohr magnetons per cell.

The space group is Cmcm (No. 63) and the conventional cell measures 7.037, 17.837 and 6.980 Å, with angles of 90.00, 90.00 and 90.00 degrees. The distinct sites, in fractional coordinates, are Sr at (0.000, 0.070, 0.250), Sr at (0.000, 0.414, 0.250), Sr at (0.250, 0.250, 0.000), Sb at (0.000, 0.114, 0.750), Te at (0.000, 0.389, 0.750) and O at (0.000, 0.271, 0.250).